## CaTmTl6 (PBE)

Data for a relaxed structure of CaTmTl6.

Cell and atoms, written as POSCAR:
```
CaTmTl6
1.0
4.7924 0.0000 0.0000
0.0000 4.7924 0.0000
0.0000 0.0000 9.6284
Ca Tm Tl
1 1 6
Cartesian
0.0000 0.0000 0.0000
0.0000 0.0000 4.8142
2.3962 2.3962 0.0000
2.3962 2.3962 4.8142
2.3962 0.0000 2.4535
2.3962 0.0000 7.1749
0.0000 2.3962 2.4535
0.0000 2.3962 7.1749
```

Output
The value obtained for the energy relative to the elements is -0.205 eV per atom. As for the total moment: 0.00 μB/f.u. The density of states at the Fermi level is 4.7 states/eV per cell.